A relaxed structure of YNp2F8, computed with PBE.

- crystal system = orthorhombic
- final energy (eV/atom) = -7.7294

a = 4.079 Å, b = 5.386 Å, c = 13.591 Å
α = 90.00°, β = 90.00°, γ = 90.00°
Space group Immm (No. 71)
Asymmetric unit:
Y: 0.000 0.000 0.000
Np: 0.000 0.000 0.322
F: 0.000 0.256 0.129
F: 0.000 0.261 0.500
F: 0.000 0.500 0.291

***

A relaxed structure of OsPt2Br, computed with PBE.

- relative energy among the computed polymorphs (eV/atom) = 0.5096
- crystal system = tetragonal

a = 4.973 Å, b = 4.973 Å, c = 2.727 Å
α = 90.00°, β = 90.00°, γ = 90.00°
Space group P4/mmm (No. 123)
Asymmetric unit:
Os: 0.000 0.000 0.000
Pt: 0.000 0.500 0.500
Br: 0.500 0.500 0.000

***

A relaxed structure of CrCo4Ni3, computed with PBE.

- crystal system = monoclinic
- DFT formation energy (eV/atom) = 0.46

a = 19.432 Å, b = 2.429 Å, c = 4.306 Å
α = 90.00°, β = 90.89°, γ = 90.00°
Space group C2/m (No. 12)
Asymmetric unit:
Cr: 0.000 0.000 0.000
Co: 0.099 0.000 0.729
Co: 0.198 0.000 0.411
Ni: 0.000 0.500 0.500
Ni: 0.197 0.500 0.921

***

A relaxed structure of Pm2Dy3ScTe6, computed with PBE.

- crystal system = monoclinic
- final energy (eV/atom) = -5.3273

a = 19.033 Å, b = 4.340 Å, c = 8.762 Å
α = 90.00°, β = 102.83°, γ = 90.00°
Space group C2/m (No. 12)
Asymmetric unit:
Pm: 0.170 0.000 0.335
Dy: 0.000 0.500 0.500
Dy: 0.176 0.000 0.837
Sc: 0.000 0.500 0.000
Te: 0.004 0.000 0.761
Te: 0.159 0.500 0.072
Te: 0.163 0.500 0.588

***

A relaxed structure of YMnCu2, computed with PBE.

- crystal system = tetragonal
- DFT formation energy (eV/atom) = 0.08

a = 3.303 Å, b = 3.303 Å, c = 6.245 Å
α = 90.00°, β = 90.00°, γ = 90.00°
Space group P4mm (No. 99)
Asymmetric unit:
Y: 0.000 0.000 0.000
Mn: 0.500 0.500 0.690
Cu: 0.000 0.000 0.489
Cu: 0.500 0.500 0.293

***

A relaxed structure of HfCrSeBr2, computed with PBE.

- relative energy among the computed polymorphs (eV/atom) = 0.0000
- crystal system = tetragonal

a = 5.277 Å, b = 5.277 Å, c = 5.170 Å
α = 90.00°, β = 90.00°, γ = 90.00°
Space group P4/mmm (No. 123)
Asymmetric unit:
Hf: 0.000 0.000 0.000
Cr: 0.500 0.500 0.500
Se: 0.000 0.000 0.500
Br: 0.000 0.500 0.000

***

Number 1: magnetic moment 18.0 μB per cell, theoretical density 7951 kg/m³. Number 2: magnetic moment 0.9 μB per cell, theoretical density 16260 kg/m³. Number 3: magnetic moment 12.6 μB per cell, theoretical density 7581 kg/m³. Number 4: magnetic moment 0.0 μB per cell, theoretical density 7474 kg/m³. Number 5: magnetic moment 3.4 μB per cell, theoretical density 6603 kg/m³. Number 6: magnetic moment 5.3 μB per cell, theoretical density 5412 kg/m³.